Record 1
Entry from the Alexandria database: CuPd2F6 after structural relaxation (PBE-GGA).

Structure (POSCAR):
```
CuPd2F6
1.0
4.907 0.000 0.000
0.000 4.907 0.000
0.000 0.000 10.068
F Cu Pd
12 2 4
Direct
0.808 0.192 0.659
0.692 0.692 0.159
0.808 0.192 0.341
0.192 0.808 0.659
0.308 0.308 0.841
0.291 0.291 0.500
0.709 0.709 0.500
0.209 0.791 0.000
0.791 0.209 0.000
0.308 0.308 0.159
0.192 0.808 0.341
0.692 0.692 0.841
0.000 0.000 0.500
0.500 0.500 0.000
0.500 0.500 0.334
0.000 0.000 0.834
0.500 0.500 0.666
0.000 0.000 0.166
```

## Properties
Relative energy among the computed polymorphs   0 meV per atom
Space-group type   No. 136

***

Record 2
Entry from the Alexandria database: Cu2PdF after structural relaxation (PBE-GGA).

Structure (POSCAR):
```
Cu2PdF
1.0
-2.567 0.711 3.228
-2.000 3.663 0.316
-4.135 0.186 -0.616
Cu Pd F
2 1 1
Direct
0.750 0.750 0.750
0.250 0.250 0.250
0.500 0.500 0.500
0.000 0.000 0.000
```

## Properties
Relative energy among the computed polymorphs   49 meV per atom
Space-group type   No. 225

***

Record 3
Entry from the Alexandria database: Cu2PdF8 after structural relaxation (PBE-GGA).

Structure (POSCAR):
```
Cu2PdF8
1.0
4.982 -0.300 -0.228
-0.458 5.392 -0.626
-0.458 0.849 5.361
F Pd Cu
8 1 2
Direct
0.273 0.293 0.962
0.727 0.707 0.038
0.821 0.204 0.204
0.179 0.796 0.796
0.727 0.038 0.707
0.253 0.457 0.457
0.747 0.543 0.543
0.273 0.962 0.293
0.000 0.000 0.000
0.518 0.316 0.316
0.482 0.684 0.684
```

## Properties
Relative energy among the computed polymorphs   0 meV per atom
Space-group type   No. 12

***

Record 4
Entry from the Alexandria database: CuPdF3 after structural relaxation (PBE-GGA).

Structure (POSCAR):
```
CuPdF3
1.0
-2.823 -1.775 2.566
-1.930 -1.725 -3.317
2.451 -3.402 0.343
Pd F Cu
1 3 1
Direct
0.000 0.000 0.000
0.000 0.500 0.000
0.500 0.000 0.000
0.000 0.000 0.500
0.500 0.500 0.500
```

## Properties
Space-group type   No. 221

***

Record 5
Entry from the Alexandria database: CuPdF2 after structural relaxation (PBE-GGA).

Structure (POSCAR):
```
CuPdF2
1.0
3.008 -2.617 -0.876
2.651 -1.107 2.900
-0.090 -3.793 1.508
Cu F Pd
1 2 1
Direct
0.000 0.000 0.000
0.250 0.250 0.250
0.750 0.750 0.750
0.500 0.500 0.500
```

## Properties
Relative energy among the computed polymorphs   399 meV per atom
Space-group type   No. 225

***

Record 6
Entry from the Alexandria database: CuPdF after structural relaxation (PBE-GGA).

Structure (POSCAR):
```
CuPdF
1.0
0.848 4.921 1.769
1.331 3.284 3.939
8.160 9.498 5.353
F Cu Pd
2 2 2
Direct
0.958 0.958 0.197
0.795 0.795 0.110
0.521 0.521 0.476
0.232 0.232 0.832
0.803 0.803 0.468
0.950 0.950 0.839
```

## Properties
Space-group type   No. 12

***

Record 7
Entry from the Alexandria database: CuPdF5 after structural relaxation (PBE-GGA).

Structure (POSCAR):
```
CuPdF5
1.0
-3.134 -2.741 3.551
-3.855 -2.503 -2.968
1.511 -7.094 -0.426
Pd F Cu
2 10 2
Direct
0.499 0.501 0.750
0.501 0.499 0.250
0.250 0.252 0.874
0.748 0.750 0.626
0.316 0.684 0.499
0.004 0.996 0.750
0.684 0.316 0.501
0.684 0.316 0.999
0.750 0.748 0.126
0.316 0.684 0.001
0.252 0.250 0.374
0.996 0.004 0.250
0.000 0.000 0.500
0.000 0.000 0.000
```

## Properties
Relative energy among the computed polymorphs   0 meV per atom
Space-group type   No. 15

***

Record 8
Entry from the Alexandria database: Cu2PdF8 after structural relaxation (PBE-GGA).

Structure (POSCAR):
```
Cu2PdF8
1.0
-2.618 -1.877 2.172
1.248 -5.398 -3.160
3.310 1.460 5.252
F Cu Pd
8 2 1
Direct
0.748 0.844 0.686
0.748 0.314 0.158
0.252 0.686 0.842
0.252 0.156 0.314
0.273 0.667 0.333
0.748 0.842 0.156
0.727 0.333 0.667
0.252 0.158 0.844
0.775 0.667 0.333
0.225 0.333 0.667
0.000 0.000 0.000
```

## Properties
Relative energy among the computed polymorphs   43 meV per atom
Space-group type   No. 147

***

Record 9
Entry from the Alexandria database: CuPdF2 after structural relaxation (PBE-GGA).

Structure (POSCAR):
```
CuPdF2
1.0
6.051 0.000 0.000
0.000 6.051 0.000
3.025 3.025 2.813
Pd Cu F
2 2 4
Direct
0.750 0.250 0.500
0.000 0.000 0.000
0.500 0.500 0.000
0.250 0.750 0.500
0.167 0.625 0.250
0.875 0.833 0.750
0.583 0.125 0.250
0.375 0.417 0.750
```

## Properties
Relative energy among the computed polymorphs   246 meV per atom
Space-group type   No. 122

***

Record 10
Entry from the Alexandria database: Cu3PdF8 after structural relaxation (PBE-GGA).

Structure (POSCAR):
```
Cu3PdF8
1.0
5.280 0.000 0.000
-2.640 4.572 0.000
0.000 0.000 6.498
F Pd Cu
8 1 3
Direct
0.667 0.333 0.500
0.673 0.673 0.157
0.000 0.673 0.843
0.000 0.327 0.157
0.327 0.000 0.157
0.673 0.000 0.843
0.333 0.667 0.500
0.327 0.327 0.843
0.000 0.000 0.500
0.333 0.667 0.000
0.667 0.333 0.000
0.000 0.000 0.000
```

## Properties
Space-group type   No. 162

***

Record 11
Entry from the Alexandria database: CuPdF2 after structural relaxation (PBE-GGA).

Structure (POSCAR):
```
CuPdF2
1.0
-7.514 -1.474 0.234
-6.842 -1.732 2.980
-7.379 0.831 1.885
Pd F Cu
1 2 1
Direct
0.500 0.500 0.500
0.919 0.919 0.919
0.081 0.081 0.081
0.000 0.000 0.000
```

## Properties
Relative energy among the computed polymorphs   162 meV per atom
Space-group type   No. 166

***

Record 12
Entry from the Alexandria database: CuPd2F11 after structural relaxation (PBE-GGA).

Structure (POSCAR):
```
CuPd2F11
1.0
-3.888 5.527 5.239
3.888 -5.527 5.239
3.888 5.527 -5.239
F Pd Cu
22 4 2
Direct
0.845 0.546 0.653
0.155 0.454 0.347
0.607 0.954 0.299
0.000 0.000 0.000
0.655 0.308 0.701
0.107 0.808 0.653
0.345 0.692 0.299
0.180 0.227 0.672
0.893 0.192 0.347
0.945 0.273 0.953
0.680 0.007 0.953
0.820 0.773 0.328
0.393 0.046 0.701
0.674 0.936 0.610
0.500 0.500 0.000
0.555 0.507 0.328
0.326 0.064 0.390
0.826 0.436 0.262
0.055 0.727 0.047
0.320 0.993 0.047
0.174 0.564 0.738
0.445 0.493 0.672
0.590 0.727 0.316
0.410 0.273 0.684
0.910 0.227 0.137
0.090 0.773 0.863
0.750 0.250 0.500
0.250 0.750 0.500
```

## Properties
Space-group type   No. 72

***

Record 13
Entry from the Alexandria database: CuPdF5 after structural relaxation (PBE-GGA).

Structure (POSCAR):
```
CuPdF5
1.0
-3.968 0.582 -3.844
-5.251 -1.478 1.183
-1.487 6.692 2.247
F Cu Pd
10 2 2
Direct
0.660 0.289 0.105
0.417 0.775 0.526
0.340 0.711 0.895
0.909 0.181 0.750
0.807 0.775 0.974
0.193 0.225 0.026
0.583 0.225 0.474
0.949 0.711 0.605
0.091 0.819 0.250
0.051 0.289 0.395
0.000 0.000 0.500
0.000 0.000 0.000
0.374 0.253 0.250
0.626 0.747 0.750
```

## Properties
Relative energy among the computed polymorphs   21 meV per atom
Space-group type   No. 15

***

Record 14
Entry from the Alexandria database: CuPd2F6 after structural relaxation (PBE-GGA).

Structure (POSCAR):
```
CuPd2F6
1.0
-5.243 -2.685 1.075
3.652 -4.040 -4.726
4.974 -3.029 4.251
F Pd Cu
12 4 2
Direct
0.659 0.716 0.014
0.961 0.623 0.625
0.877 0.284 0.984
0.461 0.625 0.623
0.623 0.016 0.716
0.341 0.284 0.986
0.123 0.716 0.016
0.039 0.377 0.375
0.539 0.375 0.377
0.159 0.014 0.716
0.377 0.984 0.284
0.841 0.986 0.284
0.795 0.657 0.816
0.295 0.816 0.657
0.205 0.343 0.184
0.705 0.184 0.343
0.750 0.000 0.000
0.250 0.000 0.000
```

## Properties
Relative energy among the computed polymorphs   39 meV per atom
Space-group type   No. 15

***

Record 15
Entry from the Alexandria database: CuPdF2 after structural relaxation (PBE-GGA).

Structure (POSCAR):
```
CuPdF2
1.0
-2.598 6.427 1.991
-3.556 4.738 4.114
-0.880 5.790 4.209
Cu F Pd
1 2 1
Direct
0.500 0.500 0.500
0.900 0.900 0.900
0.100 0.100 0.100
0.000 0.000 0.000
```

## Properties
Relative energy among the computed polymorphs   0 meV per atom
Space-group type   No. 166

***

Record 16
Entry from the Alexandria database: CuPd2F8 after structural relaxation (PBE-GGA).

Structure (POSCAR):
```
CuPd2F8
1.0
-1.644 -2.857 3.726
4.132 0.930 3.898
-1.500 4.050 3.806
F Cu Pd
8 1 2
Direct
0.707 0.361 0.905
0.256 0.615 0.615
0.293 0.639 0.095
0.195 0.146 0.146
0.744 0.385 0.385
0.293 0.095 0.639
0.805 0.854 0.854
0.707 0.905 0.361
0.000 0.000 0.000
0.480 0.266 0.266
0.520 0.734 0.734
```

## Properties
Relative energy among the computed polymorphs   0 meV per atom
Space-group type   No. 12

***

Record 17
Entry from the Alexandria database: Cu2PdF6 after structural relaxation (PBE-GGA).

Structure (POSCAR):
```
Cu2PdF6
1.0
5.993 -0.312 -0.302
1.391 6.422 -0.703
1.391 -0.495 6.441
F Cu Pd
12 4 2
Direct
0.519 0.312 0.503
0.298 0.094 0.206
0.981 0.497 0.688
0.798 0.206 0.094
0.828 0.931 0.376
0.672 0.624 0.069
0.019 0.503 0.312
0.481 0.688 0.497
0.328 0.376 0.931
0.702 0.906 0.794
0.172 0.069 0.624
0.202 0.794 0.906
0.379 0.548 0.725
0.621 0.452 0.275
0.121 0.275 0.452
0.879 0.725 0.548
0.250 0.090 0.910
0.750 0.910 0.090
```

## Properties
Space-group type   No. 15

***

Record 18
Entry from the Alexandria database: Cu2PdF after structural relaxation (PBE-GGA).

Structure (POSCAR):
```
Cu2PdF
1.0
-0.644 -5.939 -2.341
4.879 1.059 -4.030
3.757 -3.310 -1.430
Cu Pd F
4 2 2
Direct
0.375 0.425 0.750
0.875 0.825 0.750
0.575 0.125 0.250
0.175 0.625 0.250
0.000 0.000 0.000
0.750 0.250 0.500
0.250 0.750 0.500
0.500 0.500 0.000
```

## Properties
Relative energy among the computed polymorphs   0 meV per atom
Space-group type   No. 122

***

Record 19
Entry from the Alexandria database: CuPd2F8 after structural relaxation (PBE-GGA).

Structure (POSCAR):
```
CuPd2F8
1.0
-3.009 -2.828 -0.532
-0.819 2.011 -6.053
4.192 -4.702 1.287
F Cu Pd
8 1 2
Direct
0.741 0.333 0.667
0.759 0.300 0.151
0.759 0.849 0.149
0.241 0.149 0.300
0.241 0.700 0.849
0.241 0.151 0.851
0.759 0.851 0.700
0.259 0.667 0.333
0.000 0.000 0.000
0.242 0.333 0.667
0.758 0.667 0.333
```

## Properties
Relative energy among the computed polymorphs   98 meV per atom
Space-group type   No. 164

***

Record 20
Entry from the Alexandria database: CuPdPtF6 after structural relaxation (PBE-GGA).

Structure (POSCAR):
```
CuPdPtF6
1.0
-3.841 -3.112 0.006
2.029 -2.512 -3.743
4.874 -6.002 6.669
Pt F Pd Cu
2 12 2 2
Direct
0.500 0.500 0.833
0.000 0.000 0.333
0.800 0.200 0.490
0.184 0.816 0.170
0.684 0.684 0.670
0.200 0.800 0.490
0.300 0.300 0.990
0.701 0.701 0.340
0.316 0.316 0.670
0.299 0.299 0.340
0.799 0.201 0.840
0.816 0.184 0.170
0.201 0.799 0.840
0.700 0.700 0.990
0.500 0.500 0.168
0.000 0.000 0.668
0.000 0.000 0.999
0.500 0.500 0.499
```

## Properties
Space-group type   No. 102

***

Record 21
Entry from the Alexandria database: Rb2CuPdF after structural relaxation (PBE-GGA).

Structure (POSCAR):
```
Rb2CuPdF
1.0
-3.929 3.776 -1.681
-2.205 -0.645 3.704
2.960 4.189 2.492
Rb Cu Pd F
2 1 1 1
Direct
0.000 0.000 0.500
0.500 0.000 0.000
0.500 0.500 0.500
0.000 0.500 0.000
0.000 0.000 0.000
```

## Properties
Space-group type   No. 123

***

| no. | uncorrected formation energy (kJ/mol of formula units) |
| --- | --- |
| 1 | -1072 |
| 2 | -48 |
| 3 | -1419 |
| 4 | -359 |
| 5 | -180 |
| 6 | -135 |
| 7 | -892 |
| 8 | -1373 |
| 9 | -239 |
| 10 | -1079 |
| 11 | -271 |
| 12 | -1558 |
| 13 | -878 |
| 14 | -1038 |
| 15 | -334 |
| 16 | -1261 |
| 17 | -1155 |
| 18 | -67 |
| 19 | -1157 |
| 20 | -985 |
| 21 | -208 |